Entry from Alexandria: a geometry-optimized Nd2HfScPt2 structure (GGA-PBE).

Cell lengths 8.305, 8.305, 8.305 Å; angles 133.46, 67.88, 133.52 degrees
Positions (direct):
Nd (0.187, 0.246, 0.433)
Nd (0.313, 0.746, 0.059)
Nd (0.687, 0.254, 0.941)
Nd (0.813, 0.754, 0.567)
Hf (0.250, 0.750, 0.500)
Hf (0.750, 0.250, 0.500)
Sc (0.250, 0.250, 0.000)
Sc (0.750, 0.750, 0.000)
Pt (0.103, 0.743, 0.846)
Pt (0.397, 0.243, 0.640)
Pt (0.603, 0.757, 0.360)
Pt (0.897, 0.257, 0.154)

As for the crystal system: orthorhombic. The formation energy comes out at -880 meV/atom. As for the total DFT energy (no corrections): -86.37 eV/cell. The symmetry is Ibam, No. 72.


Entry from Alexandria: a geometry-optimized Nd2HfSi4Pt3 structure (GGA-PBE).

Cell lengths 4.235, 4.235, 10.534 Å; angles 90.00, 90.00, 90.00 degrees
Positions (direct):
Nd (0.000, 0.500, 0.236)
Nd (0.500, 0.000, 0.764)
Hf (0.000, 0.000, 0.500)
Si (0.000, 0.000, 0.000)
Si (0.000, 0.500, 0.652)
Si (0.500, 0.000, 0.348)
Si (0.500, 0.500, 0.000)
Pt (0.000, 0.500, 0.886)
Pt (0.500, 0.000, 0.114)
Pt (0.500, 0.500, 0.500)

As for the crystal system: tetragonal. As for the total DFT energy (no corrections): -69.62 eV/cell. The value obtained for the energy relative to the elements, uncorrected is -1.03 eV/atom. The symmetry is P-4m2, No. 115.


Entry from Alexandria: a geometry-optimized Nd2HfSi3Pt4 structure (GGA-PBE).

Cell lengths 4.302, 4.302, 10.335 Å; angles 90.00, 90.00, 90.00 degrees
Positions (direct):
Nd (0.000, 0.500, 0.237)
Nd (0.500, 0.000, 0.763)
Hf (0.000, 0.000, 0.500)
Si (0.000, 0.500, 0.876)
Si (0.500, 0.000, 0.124)
Si (0.500, 0.500, 0.500)
Pt (0.000, 0.000, 0.000)
Pt (0.000, 0.500, 0.645)
Pt (0.500, 0.000, 0.355)
Pt (0.500, 0.500, 0.000)

As for the crystal system: tetragonal. As for the total DFT energy (no corrections): -70.64 eV/cell. The value obtained for the energy relative to the elements, uncorrected is -1.07 eV/atom. The symmetry is P-4m2, No. 115.


Entry from Alexandria: a geometry-optimized Nd2HfZrPt2 structure (GGA-PBE).

Cell lengths 8.316, 8.316, 8.316 Å; angles 132.89, 68.80, 132.92 degrees
Positions (direct):
Nd (0.188, 0.245, 0.433)
Nd (0.312, 0.745, 0.057)
Nd (0.688, 0.255, 0.943)
Nd (0.812, 0.755, 0.567)
Hf (0.250, 0.250, 0.000)
Hf (0.750, 0.750, 0.000)
Zr (0.250, 0.750, 0.500)
Zr (0.750, 0.250, 0.500)
Pt (0.099, 0.755, 0.854)
Pt (0.401, 0.255, 0.656)
Pt (0.599, 0.745, 0.344)
Pt (0.901, 0.245, 0.146)

As for the crystal system: orthorhombic. The formation energy comes out at -826 meV/atom. As for the total DFT energy (no corrections): -90.15 eV/cell. The symmetry is Ibam, No. 72.


Please write out number 2 again, unchanged.
Entry from Alexandria: a geometry-optimized Nd2HfSi4Pt3 structure (GGA-PBE).

Cell lengths 4.235, 4.235, 10.534 Å; angles 90.00, 90.00, 90.00 degrees
Positions (direct):
Nd (0.000, 0.500, 0.236)
Nd (0.500, 0.000, 0.764)
Hf (0.000, 0.000, 0.500)
Si (0.000, 0.000, 0.000)
Si (0.000, 0.500, 0.652)
Si (0.500, 0.000, 0.348)
Si (0.500, 0.500, 0.000)
Pt (0.000, 0.500, 0.886)
Pt (0.500, 0.000, 0.114)
Pt (0.500, 0.500, 0.500)

As for the crystal system: tetragonal. As for the total DFT energy (no corrections): -69.62 eV/cell. The value obtained for the energy relative to the elements, uncorrected is -1.03 eV/atom. The symmetry is P-4m2, No. 115.